a:
Entry from Alexandria: HoTmSiNi after structural relaxation (PBE).

abc: 3.9254 4.0249 5.5917
angles: 90.00 110.55 90.00
With the nearest neighbours (Å) after each atom.
Positions (direct):
1 Si 0.5691 0.5000 0.1382  2 Ni 2.47
2 Ho 0.8582 0.5000 0.7163  4 Ni 2.92, 3 Si 2.95-3.03
3 Tm 0.1397 0.0000 0.2793  4 Si 2.91, 3 Ni 2.92-3.07
4 Ni 0.4331 0.0000 0.8662  2 Si 2.47

Calculated values
- mass density (g cm⁻³) = 8.44
- density of states at the Fermi level (states/eV/cell) = 3.5

***

b:
Entry from Alexandria: HoTmSiNi after structural relaxation (PBE).

abc: 4.8350 4.8350 4.8350
angles: 60.00 60.00 60.00
With the nearest neighbours (Å) after each atom.
Positions (direct):
1 Ni 0.2500 0.2500 0.2500  4 Tm 2.96, 4 Ho 2.96
2 Si 0.7500 0.7500 0.7500  4 Ho 2.96, 4 Tm 2.96
3 Ho 0.0000 0.0000 0.0000  4 Ni 2.96, 4 Si 2.96
4 Tm 0.5000 0.5000 0.5000  4 Si 2.96, 4 Ni 2.96

Calculated values
- mass density (g cm⁻³) = 8.74
- density of states at the Fermi level (states/eV/cell) = 1.3

***

Name the most stable of them. a.